Material: Mg2InHg
Method: DFT, PBE
State: relaxed

Lattice parameters (Å, degrees): 9.3160 9.3160 9.3160 21.38 21.38 21.38
Element x y z (fractional)
Hg (0.2500, 0.2500, 0.2500)
Mg (0.9958, 0.9958, 0.9958)
In (0.7500, 0.7500, 0.7500)
Mg (0.5042, 0.5042, 0.5042)

Total magnetic moment   0.0 μB/f.u.



Material: Mg12In2Hg5
Method: DFT, PBE
State: relaxed

Lattice parameters (Å, degrees): 6.2053 8.5766 9.6256 102.67 90.00 111.21
Element x y z (fractional)
In (0.7543, 0.0000, 0.0000)
Mg (0.5505, 0.6046, 0.8844)
Mg (0.1106, 0.2213, 0.3106)
Hg (0.0000, 0.0000, 0.5000)
Hg (0.6425, 0.2850, 0.8613)
Mg (0.4813, 0.9626, 0.6657)
Mg (0.9459, 0.3954, 0.1156)
Mg (0.4059, 0.3001, 0.6071)
Mg (0.1058, 0.6999, 0.3929)
Mg (0.5941, 0.6999, 0.3929)
In (0.2457, 0.0000, 0.0000)
Mg (0.5187, 0.0374, 0.3343)
Mg (0.4495, 0.3954, 0.1156)
Hg (0.3020, 0.6041, 0.6261)
Mg (0.8894, 0.7787, 0.6894)
Mg (0.0541, 0.6046, 0.8844)
Mg (0.8942, 0.3001, 0.6071)
Hg (0.3575, 0.7150, 0.1387)
Hg (0.6980, 0.3959, 0.3739)

Total magnetic moment   0.0 μB/f.u.



Material: Mg8InHg3
Method: DFT, PBE
State: relaxed

Lattice parameters (Å, degrees): 8.2141 8.2181 8.2008 48.24 109.53 131.80
Element x y z (fractional)
Hg (0.5001, 0.0000, 0.5000)
Hg (0.2500, 0.5001, 0.2499)
Mg (0.1262, 0.5073, 0.8732)
In (0.0001, 0.0000, 0.0002)
Hg (0.7499, 0.4999, 0.7500)
Mg (0.8729, 0.0000, 0.6189)
Mg (0.3808, 0.5069, 0.6196)
Mg (0.6195, 0.0000, 0.8734)
Mg (0.1271, 0.0000, 0.3813)
Mg (0.3808, 0.0000, 0.1267)
Mg (0.8739, 0.4931, 0.1264)
Mg (0.6189, 0.4927, 0.3805)

Total magnetic moment   0.0 μB/f.u.



Material: MgIn4Hg8
Method: DFT, PBE
State: relaxed

Lattice parameters (Å, degrees): 4.1507 6.1596 15.0438 68.23 82.07 70.31
Element x y z (fractional)
In (0.3702, 0.8393, 0.4202)
Mg (0.5159, 0.0008, 0.9673)
Hg (0.9615, 0.4934, 0.5835)
Hg (0.0694, 0.5111, 0.3502)
Hg (0.7681, 0.1912, 0.2727)
In (0.1534, 0.5690, 0.1241)
Hg (0.1898, 0.7209, 0.8996)
Hg (0.5729, 0.1056, 0.7487)
Hg (0.4589, 0.8971, 0.1852)
In (0.8786, 0.4333, 0.8096)
Hg (0.2633, 0.8126, 0.6609)
Hg (0.8420, 0.2819, 0.0340)
In (0.6604, 0.1657, 0.5135)

Total magnetic moment   0.0 μB/f.u.



The records above yield ΔE_f values of -126; -63; -100; -16 meV/atom, respectively.